[1]
{
  "formula": "Mg2Ag8Au",
  "functional": "PBE-GGA",
  "state": "optimized geometry",
  "lattice": [[-1.4324, 2.8695, 2.6811], [-1.6493, -4.8546, 4.3146], [7.6739, 0.6129, 0.1852]],
  "species": ["Ag", "Ag", "Mg", "Ag", "Mg", "Ag", "Ag", "Ag", "Ag", "Au", "Ag"],
  "frac_coords": [[0.8598, 0.8137, 0.7195], [0.4063, 0.5471, 0.8125], [0.2237, 0.6502, 0.4474], [0.1402, 0.1863, 0.2805], [0.7763, 0.3498, 0.5526], [0.3203, 0.0932, 0.6405], [0.9572, 0.2737, 0.9144], [0.5937, 0.4529, 0.1875], [0.6797, 0.9068, 0.3595], [0.5000, 0.0000, 0.0000], [0.0428, 0.7263, 0.0856]],
  "total_energy_ry_per_atom": -0.203,
  "ef_ev_per_atom": -0.100
}



[2]
{
  "formula": "Mg4AgAu3",
  "functional": "PBE-GGA",
  "state": "optimized geometry",
  "lattice": [[4.4777, 0.0000, 1.3218], [2.0437, 3.9840, 1.3218], [0.0319, 0.0195, 8.1373]],
  "species": ["Mg", "Au", "Au", "Au", "Mg", "Mg", "Mg", "Ag"],
  "frac_coords": [[0.3769, 0.3769, 0.8692], [0.5000, 0.5000, 0.5000], [0.2535, 0.2535, 0.2395], [0.7465, 0.7465, 0.7605], [0.6231, 0.6231, 0.1308], [0.1271, 0.1271, 0.6187], [0.8729, 0.8729, 0.3813], [0.0000, 0.0000, 0.0000]],
  "total_energy_ry_per_atom": -0.214,
  "ef_ev_per_atom": -0.527
}



[3]
{
  "formula": "Mg2AgAu",
  "functional": "PBE-GGA",
  "state": "optimized geometry",
  "lattice": [[4.7052, 0.0000, 0.0000], [2.3526, 4.0748, 0.0000], [2.3526, 1.3583, 3.8418]],
  "species": ["Au", "Ag", "Mg", "Mg"],
  "frac_coords": [[0.7500, 0.7500, 0.7500], [0.5000, 0.5000, 0.5000], [0.0000, 0.0000, 0.0000], [0.2500, 0.2500, 0.2500]],
  "total_energy_ry_per_atom": -0.193,
  "ef_ev_per_atom": -0.293
}



[4]
{
  "formula": "Mg6AgAu8",
  "functional": "PBE-GGA",
  "state": "optimized geometry",
  "lattice": [[7.9974, 0.0000, 0.0000], [3.9987, 6.9260, 0.0000], [3.9987, 2.3087, 5.4419]],
  "species": ["Au", "Mg", "Au", "Mg", "Au", "Mg", "Mg", "Au", "Au", "Mg", "Au", "Ag", "Au", "Au", "Mg"],
  "frac_coords": [[0.0771, 0.4187, 0.6831], [0.8781, 0.3292, 0.1997], [0.8211, 0.0771, 0.6831], [0.3292, 0.5930, 0.1997], [0.9229, 0.5813, 0.3169], [0.6708, 0.4070, 0.8003], [0.5930, 0.8781, 0.1997], [0.4187, 0.8211, 0.6831], [0.2954, 0.2954, 0.1138], [0.1219, 0.6708, 0.8003], [0.5813, 0.1789, 0.3169], [0.0000, 0.0000, 0.0000], [0.7046, 0.7046, 0.8862], [0.1789, 0.9229, 0.3169], [0.4070, 0.1219, 0.8003]],
  "total_energy_ry_per_atom": -0.217,
  "ef_ev_per_atom": -0.383
}



[5]
{
  "formula": "MgAg4Au3",
  "functional": "PBE-GGA",
  "state": "optimized geometry",
  "lattice": [[-0.4954, 1.9305, 2.3312], [2.5647, -2.9448, 2.9836], [4.3745, 8.1885, -7.8688]],
  "species": ["Au", "Ag", "Ag", "Au", "Ag", "Ag", "Au", "Mg"],
  "frac_coords": [[0.7497, 0.7492, 0.4994], [0.3755, 0.9825, 0.7510], [0.1241, 0.5152, 0.2482], [0.2503, 0.2508, 0.5006], [0.8759, 0.4848, 0.7518], [0.6245, 0.0175, 0.2490], [0.0000, 0.5000, 0.0000], [0.5000, 0.0000, 0.0000]],
  "total_energy_ry_per_atom": -0.219,
  "ef_ev_per_atom": -0.127
}



[6]
{
  "formula": "MgAg4Au4",
  "functional": "PBE-GGA",
  "state": "optimized geometry",
  "lattice": [[4.2033, 0.0000, 0.0000], [2.1017, 6.1885, 0.0000], [2.1017, 0.0000, 6.1885]],
  "species": ["Ag", "Au", "Ag", "Au", "Mg", "Ag", "Au", "Ag", "Au"],
  "frac_coords": [[0.6657, 0.6685, 0.0001], [0.9999, 0.6714, 0.3289], [0.3342, 0.0001, 0.3315], [0.6712, 0.3289, 0.3286], [0.0000, 0.0000, 0.0000], [0.6658, 0.9999, 0.6685], [0.0001, 0.3286, 0.6711], [0.3343, 0.3315, 0.9999], [0.3288, 0.6711, 0.6714]],
  "total_energy_ry_per_atom": -0.224,
  "ef_ev_per_atom": -0.145
}



[7]
{
  "formula": "Mg5Ag4Au",
  "functional": "PBE-GGA",
  "state": "optimized geometry",
  "lattice": [[3.3664, 0.0000, 0.0000], [0.0000, 3.3664, 0.0000], [0.0000, 0.0000, 16.2380]],
  "species": ["Mg", "Ag", "Ag", "Ag", "Mg", "Mg", "Au", "Ag", "Mg", "Mg"],
  "frac_coords": [[0.5000, 0.5000, 0.9038], [0.0000, 0.0000, 0.3995], [0.0000, 0.0000, 0.1989], [0.0000, 0.0000, 0.8011], [0.5000, 0.5000, 0.7007], [0.5000, 0.5000, 0.0962], [0.0000, 0.0000, 0.0000], [0.0000, 0.0000, 0.6005], [0.5000, 0.5000, 0.5000], [0.5000, 0.5000, 0.2993]],
  "total_energy_ry_per_atom": -0.190,
  "ef_ev_per_atom": -0.318
}



[8]
{
  "formula": "Mg2AgAu3",
  "functional": "PBE-GGA",
  "state": "optimized geometry",
  "lattice": [[3.3866, 0.0000, 0.0000], [0.0000, 3.3866, 0.0000], [0.0000, 0.0000, 9.4174]],
  "species": ["Ag", "Au", "Mg", "Au", "Mg", "Au"],
  "frac_coords": [[0.5000, 0.5000, 0.5000], [0.0000, 0.0000, 0.0000], [0.5000, 0.5000, 0.1700], [0.0000, 0.0000, 0.6744], [0.5000, 0.5000, 0.8300], [0.0000, 0.0000, 0.3256]],
  "total_energy_ry_per_atom": -0.226,
  "ef_ev_per_atom": -0.428
}



[9]
{
  "formula": "MgAg4Au",
  "functional": "PBE-GGA",
  "state": "optimized geometry",
  "lattice": [[-4.0636, 1.9307, -1.3305], [-1.7902, -0.5806, 4.6253], [5.6068, 8.3152, 3.2139]],
  "species": ["Mg", "Ag", "Mg", "Au", "Ag", "Ag", "Ag", "Ag", "Ag", "Au", "Ag", "Ag"],
  "frac_coords": [[0.8305, 0.6328, 0.6610], [0.7497, 0.0774, 0.4993], [0.1695, 0.1328, 0.3390], [0.6040, 0.0222, 0.2081], [0.0958, 0.6634, 0.1916], [0.5313, 0.4986, 0.0626], [0.4687, 0.9986, 0.9374], [0.6730, 0.5391, 0.3459], [0.9042, 0.1634, 0.8084], [0.3960, 0.5222, 0.7919], [0.2503, 0.5774, 0.5007], [0.3270, 0.0391, 0.6541]],
  "total_energy_ry_per_atom": -0.201,
  "ef_ev_per_atom": -0.021
}



[10]
{
  "formula": "Mg2Ag2Au7",
  "functional": "PBE-GGA",
  "state": "optimized geometry",
  "lattice": [[4.2791, 0.0000, -1.3061], [-1.0440, 5.9633, -3.4202], [0.0174, 0.3768, 7.7198]],
  "species": ["Mg", "Au", "Mg", "Ag", "Au", "Au", "Au", "Au", "Au", "Au", "Ag"],
  "frac_coords": [[0.2976, 0.9201, 0.5952], [0.5000, 0.9168, 0.0000], [0.7024, 0.3249, 0.4048], [0.5000, 0.3290, 0.0000], [0.3393, 0.4607, 0.6786], [0.8565, 0.7735, 0.7131], [0.8541, 0.1867, 0.7082], [0.1459, 0.4785, 0.2918], [0.6607, 0.7821, 0.3214], [0.1435, 0.0604, 0.2869], [0.0000, 0.6210, 0.0000]],
  "total_energy_ry_per_atom": -0.230,
  "ef_ev_per_atom": -0.235
}



[11]
{
  "formula": "Mg2Ag6Au",
  "functional": "PBE-GGA",
  "state": "optimized geometry",
  "lattice": [[7.2800, 0.1198, 0.5634], [2.8372, 6.2605, 3.0855], [-0.0480, 0.1198, 7.3016]],
  "species": ["Au", "Ag", "Mg", "Ag", "Mg", "Ag", "Ag", "Mg", "Ag", "Au", "Ag", "Mg", "Ag", "Ag", "Ag", "Ag", "Ag", "Ag"],
  "frac_coords": [[0.8289, 0.7500, 0.1711], [0.0079, 0.3107, 0.2026], [0.7864, 0.5702, 0.5815], [0.3266, 0.9723, 0.5801], [0.5815, 0.0702, 0.7864], [0.2026, 0.8107, 0.0079], [0.3770, 0.3592, 0.0811], [0.2136, 0.4298, 0.4185], [0.6734, 0.0277, 0.4199], [0.1711, 0.2500, 0.8289], [0.7974, 0.1893, 0.9921], [0.4185, 0.9298, 0.2136], [0.9921, 0.6893, 0.7974], [0.0811, 0.8592, 0.3770], [0.4199, 0.5277, 0.6734], [0.5801, 0.4723, 0.3266], [0.9189, 0.1408, 0.6230], [0.6230, 0.6408, 0.9189]],
  "total_energy_ry_per_atom": -0.203,
  "ef_ev_per_atom": -0.137
}



[12]
{
  "formula": "MgAg6Au",
  "functional": "PBE-GGA",
  "state": "optimized geometry",
  "lattice": [[5.4869, 0.0000, 0.0000], [2.7434, 4.7518, 0.0000], [2.7434, 1.5839, 7.4388]],
  "species": ["Ag", "Ag", "Au", "Mg", "Ag", "Ag", "Ag", "Ag"],
  "frac_coords": [[0.4372, 0.9367, 0.6893], [0.5628, 0.0633, 0.3107], [0.5000, 0.5000, 0.5000], [0.0000, 0.0000, 0.0000], [0.9367, 0.9367, 0.6893], [0.0633, 0.5628, 0.3107], [0.9367, 0.4372, 0.6893], [0.0633, 0.0633, 0.3107]],
  "total_energy_ry_per_atom": -0.184,
  "ef_ev_per_atom": 0.251
}